NaTl2F8: relaxed, GGA-PBE. Values from VASP.

Structure (Quantum ESPRESSO input):
```
&SYSTEM
  ibrav = 0, nat = 11, ntyp = 3
/
ATOMIC_SPECIES
F 19.00 F.upf
Tl 204.38 Tl.upf
Na 22.99 Na.upf
CELL_PARAMETERS angstrom
-3.497 -1.081 -2.080
4.197 -1.005 -4.915
2.878 -5.871 -0.169
ATOMIC_POSITIONS crystal
F 0.567 0.064 0.671
F 0.433 0.329 0.936
F 0.567 0.671 0.064
F 0.236 0.493 0.493
F 0.764 0.507 0.507
F 0.986 0.243 0.243
F 0.014 0.757 0.757
F 0.433 0.936 0.329
Tl 0.492 0.697 0.697
Tl 0.508 0.303 0.303
Na 0.000 0.000 0.000
```

spin magnetization: 0.0 μB/cell
density of states at the Fermi level: 13.2 states/eV/f.u.
ΔE to the lowest computed polymorph: 11 meV per atom
V: 14.55 Å³ per atom
formation energy (no corrections): -1.78 eV/atom